# 1
{"formula": "Li7Mg2Al", "functional": "PBE", "state": "optimized geometry", "lattice": [[6.871, 0.000, 0.000], [3.436, 5.951, 0.000], [3.436, 1.984, 5.610]], "species": ["Li", "Li", "Li", "Li", "Li", "Mg", "Li", "Al", "Li", "Mg"], "fractional_positions": [[0.253, 0.253, 0.747], [0.253, 0.747, 0.747], [0.747, 0.253, 0.747], [0.747, 0.253, 0.253], [0.500, 0.500, 0.500], [0.250, 0.250, 0.250], [0.253, 0.747, 0.253], [0.000, 0.000, 0.000], [0.747, 0.747, 0.253], [0.750, 0.750, 0.750]]}

=====

# 2
{"formula": "LiMgAl", "functional": "PBE", "state": "optimized geometry", "lattice": [[-1.388, -4.274, 1.387], [3.056, -3.574, 0.018], [1.488, 1.301, 5.497]], "species": ["Mg", "Mg", "Al", "Al", "Li", "Li"], "fractional_positions": [[0.295, 0.645, 0.539], [0.295, 0.645, 0.043], [0.629, 0.979, 0.227], [0.962, 0.312, 0.354], [0.962, 0.312, 0.859], [0.629, 0.979, 0.723]]}

=====

# 3
{"formula": "Li5Mg4Al", "functional": "PBE", "state": "optimized geometry", "lattice": [[-2.313, 2.043, -4.092], [3.717, -0.645, -5.633], [-3.917, -4.489, -3.237]], "species": ["Mg", "Mg", "Li", "Mg", "Li", "Li", "Al", "Li", "Li", "Mg"], "fractional_positions": [[0.438, 0.682, 0.318], [0.756, 0.682, 0.682], [0.136, 0.638, 0.000], [0.120, 0.318, 0.318], [0.774, 0.362, 0.000], [0.774, 0.000, 0.362], [0.231, 0.000, 0.000], [0.706, 0.000, 0.000], [0.136, 0.000, 0.638], [0.438, 0.318, 0.682]]}

=====

no.,energy relative to the lowest polymorph listed for this composition (eV per atom),energy of formation (eV per atom)
1,0.273,0.299
2,0.003,-0.052
3,0.039,0.030